VASP calculation (GGA-PBE) on a relaxed CsOs3C crystal.

Density, g/cm³: 9.48
ΔH_f (0 K), eV per atom: 5.31

Cell: 5.005 5.005 5.005 Å, 90.00 90.00 90.00°
Space group Pm-3m (No. 221)
Asymmetric unit:
Cs: 0.000 0.000 0.000 (multiplicity 1)
Os: 0.000 0.000 0.500 (multiplicity 3)
C: 0.500 0.500 0.500 (multiplicity 1)

VASP calculation (GGA-PBE) on a relaxed Rb2Tl5In crystal.

Density, g/cm³: 7.65
ΔH_f (0 K), eV per atom: -0.06

Cell: 5.676 5.676 17.612 Å, 90.00 90.00 90.00°
Space group I4/mmm (No. 139)
Asymmetric unit:
Rb: 0.000 0.000 0.249 (multiplicity 4)
Tl: 0.000 0.000 0.500 (multiplicity 2)
Tl: 0.000 0.500 0.099 (multiplicity 8)
In: 0.000 0.000 0.000 (multiplicity 2)

VASP calculation (GGA-PBE) on a relaxed Ag2IrBr4F2 crystal.

Density, g/cm³: 5.01
Raw formation energy, meV per atom: -572.6

Cell: 11.711 7.473 5.810 Å, 90.00 93.07 90.00°
Space group C2/m (No. 12)
Asymmetric unit:
Ag: 0.207 0.000 0.463 (multiplicity 4)
Ir: 0.000 0.500 0.500 (multiplicity 2)
Br: 0.119 0.271 0.712 (multiplicity 8)
F: 0.113 0.500 0.258 (multiplicity 4)

VASP calculation (GGA-PBE) on a relaxed RbTl2Pt2 crystal.

Density, g/cm³: 10.92
ΔH_f (0 K), eV per atom: -0.11

Cell: 4.905 4.905 11.182 Å, 90.00 90.00 90.00°
Space group I4/mmm (No. 139)
Asymmetric unit:
Rb: 0.000 0.000 0.000 (multiplicity 2)
Tl: 0.000 0.500 0.250 (multiplicity 4)
Pt: 0.000 0.000 0.383 (multiplicity 4)

VASP calculation (GGA-PBE) on a relaxed Hf2Nb2S crystal.

Density, g/cm³: 9.20
Raw formation energy, meV per atom: 176.5

Cell: 3.596 3.596 16.039 Å, 90.00 90.00 90.00°
Space group I4/mmm (No. 139)
Asymmetric unit:
Hf: 0.000 0.000 0.095 (multiplicity 4)
Nb: 0.000 0.500 0.250 (multiplicity 4)
S: 0.000 0.000 0.500 (multiplicity 2)

VASP calculation (GGA-PBE) on a relaxed In6PbAu12 crystal.

Density, g/cm³: 12.99
ΔH_f (0 K), eV per atom: -0.08

Cell: 12.5027 12.5027 9.2355 Å, 90.00 90.00 120.00°
Space group R-3m (No. 166, hexagonal axes)
Asymmetric unit:
In: 0.0655 0.5328 0.2361 (multiplicity 18)
Pb: 0.0000 0.0000 0.0000 (multiplicity 3)
Au: 0.0000 0.3875 0.5000 (multiplicity 18)
Au: 0.0807 0.1614 0.2680 (multiplicity 18)

VASP calculation (GGA-PBE) on a relaxed CsAcS2 crystal.

Density, g/cm³: 4.94
Raw formation energy, meV per atom: -1849.4

Cell: 4.4657 4.4657 24.7361 Å, 90.00 90.00 120.00°
Space group R3m (No. 160, hexagonal axes)
Asymmetric unit:
Cs: 0.0000 0.0000 0.0000 (multiplicity 3)
Ac: 0.0000 0.0000 0.8308 (multiplicity 3)
S: 0.0000 0.0000 0.2275 (multiplicity 3)
S: 0.0000 0.0000 0.4332 (multiplicity 3)

VASP calculation (GGA-PBE) on a relaxed Cs2TlSb2 crystal.

Density, g/cm³: 5.23
Raw formation energy, meV per atom: -320.7

Cell: 12.109 7.917 9.608 Å, 90.00 100.19 90.00°
Space group C2/c (No. 15)
Asymmetric unit:
Cs: 0.150 0.135 0.134 (multiplicity 8)
Tl: 0.000 0.450 0.750 (multiplicity 4)
Sb: 0.142 0.336 0.507 (multiplicity 8)

VASP calculation (GGA-PBE) on a relaxed As2Pd8S crystal.

Density, g/cm³: 9.97
Raw formation energy, meV per atom: -267.7

Cell: 14.686 4.139 6.043 Å, 90.00 110.42 90.00°
Space group C2/m (No. 12)
Asymmetric unit:
As: 0.176 0.000 0.185 (multiplicity 4)
Pd: 0.031 0.000 0.299 (multiplicity 4)
Pd: 0.089 0.500 0.946 (multiplicity 4)
Pd: 0.170 0.500 0.465 (multiplicity 4)
Pd: 0.200 0.000 0.807 (multiplicity 4)
S: 0.000 0.500 0.500 (multiplicity 2)

VASP calculation (GGA-PBE) on a relaxed Tb2NdSnN crystal.

Density, g/cm³: 8.44
Raw formation energy, meV per atom: -1017.5

Cell: 4.831 4.831 5.015 Å, 90.00 90.00 90.00°
Space group P4/mmm (No. 123)
Asymmetric unit:
Tb: 0.000 0.500 0.000 (multiplicity 2)
Nd: 0.000 0.000 0.500 (multiplicity 1)
Sn: 0.500 0.500 0.500 (multiplicity 1)
N: 0.000 0.000 0.000 (multiplicity 1)

VASP calculation (GGA-PBE) on a relaxed Tm2TiBe3Pt4 crystal.

Density, g/cm³: 12.28
ΔH_f (0 K), eV per atom: -0.91

Cell: 3.970 3.970 10.236 Å, 90.00 90.00 90.00°
Space group P-4m2 (No. 115)
Asymmetric unit:
Tm: 0.000 0.500 0.235 (multiplicity 2)
Ti: 0.000 0.000 0.500 (multiplicity 1)
Be: 0.000 0.500 0.881 (multiplicity 2)
Be: 0.500 0.500 0.500 (multiplicity 1)
Pt: 0.000 0.000 0.000 (multiplicity 1)
Pt: 0.000 0.500 0.653 (multiplicity 2)
Pt: 0.500 0.500 0.000 (multiplicity 1)

VASP calculation (GGA-PBE) on a relaxed Mg2TlPb crystal.

Density, g/cm³: 7.32
ΔH_f (0 K), eV per atom: -0.02

Cell: 3.5040 3.5040 29.4674 Å, 90.00 90.00 120.00°
Space group R-3m (No. 166, hexagonal axes)
Asymmetric unit:
Mg: 0.0000 0.0000 0.2455 (multiplicity 6)
Tl: 0.0000 0.0000 0.5000 (multiplicity 3)
Pb: 0.0000 0.0000 0.0000 (multiplicity 3)

Calculated size of the total moment (μB/f.u.), listed in the same order as above: 4.179, 0.000, 0.829, 0.000, 0.000, 0.000, 0.000, 0.000, 0.000, 0.000, 0.000, 0.000